Material: Ti3AgB
Method: DFT, PBE
State: optimized geometry

Output
* M_tot: 0.00 μB per cell
* calculated formation energy: 41.50 kcal/mol of atoms
* SG: Pm-3m (221)

Cell and atoms, written as POSCAR:
```
Ti3AgB
1.0
-4.648 0.131 -1.075
0.538 -3.832 -2.794
-0.940 -2.842 3.717
B Ag Ti
1 1 3
Direct
0.500 0.500 0.500
0.000 0.000 0.000
0.000 0.500 0.000
0.000 0.000 0.500
0.500 0.000 0.000
```